Record 1
A relaxed structure of Ac5La8Tb, computed with PBE-GGA.

Values from the calculation:
Electronic total energy in eV per cell: -64.26
N(E_F) in states/eV/f.u.: 27.2
Calculated formation energy in eV per atom: 0.024

Cell lengths 9.377, 8.507, 7.614 Å; angles 102.83, 90.11, 111.34 degrees
Fractional positions:
Ac (0.978, 0.256, 0.128)
Ac (0.845, 0.818, 0.268)
Ac (0.837, 0.812, 0.766)
Ac (0.553, 0.963, 0.553)
Ac (0.268, 0.112, 0.839)
La (0.135, 0.680, 0.983)
La (0.985, 0.261, 0.627)
La (0.687, 0.388, 0.409)
La (0.693, 0.392, 0.910)
La (0.412, 0.536, 0.197)
La (0.547, 0.958, 0.052)
La (0.271, 0.114, 0.341)
La (0.130, 0.675, 0.484)
Tb (0.409, 0.534, 0.695)


Record 2
A relaxed structure of AcLa8Tb2, computed with PBE-GGA.

Values from the calculation:
Electronic total energy in eV per cell: -51.67
N(E_F) in states/eV/f.u.: 17.7
Calculated formation energy in eV per atom: 0.102

Cell lengths 5.706, 8.689, 9.745 Å; angles 116.46, 107.02, 90.00 degrees
Fractional positions:
Ac (0.500, 0.000, 0.000)
La (0.645, 0.845, 0.290)
La (0.355, 0.555, 0.710)
La (0.158, 0.158, 0.315)
La (0.000, 0.297, 0.000)
La (0.842, 0.842, 0.685)
La (0.645, 0.445, 0.290)
La (0.355, 0.155, 0.710)
La (0.000, 0.703, 0.000)
Tb (0.202, 0.702, 0.404)
Tb (0.798, 0.298, 0.596)


Record 3
A relaxed structure of Ac8La3Tb, computed with PBE-GGA.

Values from the calculation:
Electronic total energy in eV per cell: -45.56
N(E_F) in states/eV/f.u.: 21.1
Calculated formation energy in eV per atom: 0.560

Cell lengths 9.251, 9.251, 9.251 Å; angles 91.95, 118.88, 118.88 degrees
Fractional positions:
Ac (0.492, 0.234, 0.234)
Ac (0.508, 0.742, 0.742)
Ac (0.000, 0.766, 0.258)
Ac (0.000, 0.258, 0.766)
Ac (0.260, 0.372, 0.372)
Ac (0.740, 0.113, 0.113)
Ac (0.000, 0.628, 0.887)
Ac (0.000, 0.887, 0.628)
La (0.500, 0.750, 0.250)
La (0.500, 0.250, 0.750)
La (0.000, 0.500, 0.500)
Tb (0.000, 0.000, 0.000)


Record 4
A relaxed structure of Ac8La2Tb3, computed with PBE-GGA.

Values from the calculation:
Electronic total energy in eV per cell: -53.84
N(E_F) in states/eV/f.u.: 19.6
Calculated formation energy in eV per atom: 0.214

Cell lengths 6.139, 8.405, 11.467 Å; angles 111.50, 90.00, 90.00 degrees
Fractional positions:
Ac (0.000, 0.328, 0.657)
Ac (0.000, 0.672, 0.343)
Ac (0.000, 0.872, 0.744)
Ac (0.000, 0.128, 0.256)
Ac (0.500, 0.809, 0.204)
Ac (0.500, 0.395, 0.204)
Ac (0.500, 0.605, 0.796)
Ac (0.500, 0.191, 0.796)
La (0.500, 0.759, 0.519)
La (0.500, 0.241, 0.481)
Tb (0.500, 0.000, 0.000)
Tb (0.000, 0.292, 0.000)
Tb (0.000, 0.708, 0.000)


Record 5
A relaxed structure of Ac8La3Tb3, computed with PBE-GGA.

Values from the calculation:
Electronic total energy in eV per cell: -58.73
N(E_F) in states/eV/f.u.: 20.8
Calculated formation energy in eV per atom: 0.201

Cell lengths 6.346, 10.666, 10.666 Å; angles 80.37, 64.34, 64.34 degrees
Fractional positions:
Ac (0.697, 0.108, 0.633)
Ac (0.303, 0.892, 0.367)
Ac (0.697, 0.633, 0.108)
Ac (0.303, 0.367, 0.892)
Ac (0.768, 0.778, 0.518)
Ac (0.232, 0.222, 0.482)
Ac (0.768, 0.518, 0.778)
Ac (0.232, 0.482, 0.222)
La (0.500, 0.500, 0.500)
La (0.889, 0.226, 0.226)
La (0.111, 0.774, 0.774)
Tb (0.500, 0.000, 0.000)
Tb (0.000, 0.867, 0.133)
Tb (0.000, 0.133, 0.867)


Record 6
A relaxed structure of Ac8La2Tb, computed with PBE-GGA.

Values from the calculation:
Electronic total energy in eV per cell: -46.11
N(E_F) in states/eV/f.u.: 19.0
Excess energy over the best structure of this formula in the dataset in kJ/mol of formula units: 0.0
Calculated formation energy in eV per atom: 0.113

Cell lengths 6.086, 8.943, 10.279 Å; angles 115.78, 107.22, 90.00 degrees
Fractional positions:
Ac (0.637, 0.846, 0.273)
Ac (0.363, 0.573, 0.727)
Ac (0.162, 0.162, 0.323)
Ac (0.000, 0.291, 0.000)
Ac (0.838, 0.838, 0.677)
Ac (0.637, 0.427, 0.273)
Ac (0.363, 0.154, 0.727)
Ac (0.000, 0.709, 0.000)
La (0.200, 0.700, 0.400)
La (0.800, 0.300, 0.600)
Tb (0.500, 0.000, 0.000)


Record 7
A relaxed structure of Ac7La12Tb, computed with PBE-GGA.

Values from the calculation:
Electronic total energy in eV per cell: -87.64
N(E_F) in states/eV/f.u.: 26.5
Calculated formation energy in eV per atom: 0.244

Cell lengths 6.709, 11.984, 11.984 Å; angles 116.60, 100.76, 100.76 degrees
Fractional positions:
Ac (0.119, 0.742, 0.999)
Ac (0.880, 0.999, 0.257)
Ac (0.623, 0.743, 0.742)
Ac (0.500, 0.000, 0.000)
Ac (0.377, 0.257, 0.258)
Ac (0.120, 0.001, 0.743)
Ac (0.881, 0.258, 0.001)
La (0.097, 0.596, 0.191)
La (0.094, 0.191, 0.595)
La (0.576, 0.638, 0.000)
La (0.423, 0.000, 0.362)
La (0.499, 0.405, 0.596)
La (0.061, 0.638, 0.638)
La (0.939, 0.362, 0.362)
La (0.501, 0.595, 0.404)
La (0.577, 0.000, 0.638)
La (0.424, 0.362, 0.000)
La (0.906, 0.809, 0.405)
La (0.903, 0.404, 0.809)
Tb (0.000, 0.000, 0.000)


Record 8
A relaxed structure of AcLa6Tb2, computed with PBE-GGA.

Values from the calculation:
Electronic total energy in eV per cell: -42.50
N(E_F) in states/eV/f.u.: 15.0
Excess energy over the best structure of this formula in the dataset in kJ/mol of formula units: 0.0
Calculated formation energy in eV per atom: 0.048

Cell lengths 3.674, 10.231, 10.231 Å; angles 120.00, 90.00, 90.00 degrees
Fractional positions:
Ac (0.500, 0.000, 0.000)
La (0.000, 0.682, 0.000)
La (0.000, 0.318, 0.318)
La (0.000, 0.000, 0.682)
La (0.500, 0.000, 0.362)
La (0.500, 0.638, 0.638)
La (0.500, 0.362, 0.000)
Tb (0.000, 0.667, 0.333)
Tb (0.000, 0.333, 0.667)